The following is a PBE calculation of CeNd2Ho6 after structural relaxation, from Alexandria.

Unit cell a=3.5211 b=9.7448 c=9.7448 alpha=120.00 beta=90.00 gamma=90.00
Each line ends with the local moment (μB).
Positions (direct):
Ho1 0.2310 0.6513 0.6731  0.05
Ce1 0.5000 0.0000 0.0000  1.06
Ho2 0.2310 0.3269 0.9782  0.05
Ho3 0.7690 0.6731 0.0218  0.05
Nd1 0.2636 0.6667 0.3333  -0.04
Ho4 0.7690 0.9782 0.6513  0.05
Ho5 0.7690 0.3487 0.3269  0.05
Nd2 0.7364 0.3333 0.6667  -0.04
Ho6 0.2310 0.0218 0.3487  0.05

Magnetization = 1.707 μB per cell
Calculated volume = 32.17 Å³ per atom
Theoretical density = 8133 kg/m3
Total DFT energy (no corrections) = -4.67 eV/atom


The following is a PBE calculation of Ba2GePb after structural relaxation, from Alexandria.

Unit cell a=7.0852 b=10.6904 c=9.5036 alpha=90.00 beta=126.23 gamma=90.00
Positions (direct):
Ba1 0.5000 0.7147 0.5000
Pb1 0.0000 0.7019 0.0000
Pb2 0.0000 0.7981 0.5000
Ba2 0.5000 0.2147 0.0000
Pb3 0.0000 0.2019 0.5000
Ba3 0.5000 0.2853 0.5000
Ge1 0.6406 0.0000 0.3181
Ge2 0.3594 0.0000 0.6819
Ba4 0.9050 0.5000 0.2588
Ge3 0.6406 0.5000 0.8181
Pb4 0.0000 0.2981 0.0000
Ge4 0.3594 0.5000 0.1819
Ba5 0.0950 0.0000 0.2412
Ba6 0.9050 0.0000 0.7588
Ba7 0.5000 0.7853 0.0000
Ba8 0.0950 0.5000 0.7412

Magnetization = 0.000 μB per cell
Energy relative to the lowest polymorph listed for this composition = 0.26 eV per formula unit
Calculated volume = 36.29 Å³ per atom
Theoretical density = 6343 kg/m3
Total DFT energy (no corrections) = -3.54 eV/atom


The following is a PBE calculation of LiGeRhPb after structural relaxation, from Alexandria.

Unit cell a=4.6186 b=4.6186 c=4.6186 alpha=60.00 beta=60.00 gamma=60.00
Positions (direct):
Pb1 0.2500 0.2500 0.2500
Rh1 0.5000 0.5000 0.5000
Ge1 0.7500 0.7500 0.7500
Li1 0.0000 0.0000 0.0000

Magnetization = 0.000 μB per cell
Calculated volume = 17.42 Å³ per atom
Theoretical density = 9289 kg/m3
Total DFT energy (no corrections) = -4.57 eV/atom


The following is a PBE calculation of La6Nd12Y after structural relaxation, from Alexandria.

Unit cell a=9.6930 b=9.6930 c=9.6930 alpha=109.28 beta=109.28 gamma=109.28
Positions (direct):
Nd1 0.3860 0.1821 0.3860
Nd2 0.5000 0.8925 0.1075
Y1 0.0000 0.0000 0.0000
Nd3 0.1821 0.3860 0.3860
La1 0.3250 0.3250 0.7819
La2 0.6750 0.2181 0.6750
Nd4 0.3860 0.3860 0.1821
La3 0.7819 0.3250 0.3250
Nd5 0.8925 0.5000 0.1075
Nd6 0.5000 0.1075 0.8925
La4 0.2181 0.6750 0.6750
Nd7 0.6140 0.6140 0.8179
Nd8 0.1075 0.5000 0.8925
Nd9 0.1075 0.8925 0.5000
Nd10 0.8925 0.1075 0.5000
Nd11 0.6140 0.8179 0.6140
La5 0.6750 0.6750 0.2181
La6 0.3250 0.7819 0.3250
Nd12 0.8179 0.6140 0.6140

Magnetization = 0.000 μB per cell
Energy relative to the lowest polymorph listed for this composition = 4.87 eV per formula unit
Calculated volume = 37.15 Å³ per atom
Theoretical density = 6241 kg/m3
Total DFT energy (no corrections) = -4.54 eV/atom


The following is a PBE calculation of CaYZr2 after structural relaxation, from Alexandria.

Unit cell a=3.8043 b=3.8043 c=8.2311 alpha=90.00 beta=90.00 gamma=90.00
Positions (direct):
Zr1 0.0000 0.0000 0.0434
Zr2 0.5000 0.5000 0.1916
Y1 0.5000 0.5000 0.8012
Ca1 0.0000 0.0000 0.4638

Magnetization = 0.000 μB per cell
Energy relative to the lowest polymorph listed for this composition = 0.02 eV per formula unit
Calculated volume = 29.78 Å³ per atom
Theoretical density = 4341 kg/m3
Total DFT energy (no corrections) = -6.22 eV/atom


The following is a PBE calculation of I after structural relaxation, from Alexandria.

Unit cell a=4.9154 b=5.4137 c=8.4425 alpha=85.02 beta=84.10 gamma=81.26
Positions (direct):
I1 0.2987 0.1651 0.2641
I2 0.5000 0.5000 0.0000
I3 0.0000 0.5000 0.5000
I4 0.7013 0.8349 0.7359

Energy relative to the elements, uncorrected = 0.001 eV/atom
Magnetization = 0.000 μB per cell
Energy relative to the lowest polymorph listed for this composition = 0.00 eV per formula unit
Calculated volume = 55.07 Å³ per atom
Theoretical density = 3826 kg/m3
Total DFT energy (no corrections) = -1.55 eV/atom


The following is a PBE calculation of Cs2MgBeI6 after structural relaxation, from Alexandria.

Unit cell a=8.1018 b=8.1018 c=8.4427 alpha=61.33 beta=61.33 gamma=90.00
Positions (direct):
I1 0.2220 0.2220 0.5561
I2 0.2737 0.2737 0.0000
I3 0.7780 0.7780 0.4439
I4 0.7263 0.7263 0.0000
Be1 0.5000 0.5000 0.0000
I5 0.7263 0.2737 0.0000
Mg1 0.0000 0.0000 0.0000
I6 0.2737 0.7263 0.0000
Cs1 0.7500 0.2500 0.5000
Cs2 0.2500 0.7500 0.5000

Energy relative to the elements, uncorrected = -0.942 eV/atom
Magnetization = 0.000 μB per cell
Calculated volume = 40.71 Å³ per atom
Theoretical density = 4326 kg/m3
Total DFT energy (no corrections) = -2.57 eV/atom


The following is a PBE calculation of GdCuSbPd after structural relaxation, from Alexandria.

Unit cell a=4.8129 b=4.8129 c=4.8129 alpha=60.00 beta=60.00 gamma=60.00
Each line ends with the local moment (μB).
Positions (direct):
Cu1 0.2500 0.2500 0.2500  -0.01
Sb1 0.5000 0.5000 0.5000  -0.02
Gd1 0.0000 0.0000 0.0000  6.94
Pd1 0.7500 0.7500 0.7500  -0.02

Energy relative to the elements, uncorrected = -0.585 eV/atom
Magnetization = 6.955 μB per cell
Calculated volume = 19.71 Å³ per atom
Theoretical density = 9457 kg/m3
Total DFT energy (no corrections) = -7.46 eV/atom


The following is a PBE calculation of Pm2Ni5Sn4 after structural relaxation, from Alexandria.

Unit cell a=5.7258 b=5.7674 c=8.1034 alpha=79.90 beta=69.31 gamma=60.24
Positions (direct):
Ni1 0.5000 0.5000 0.0000
Sn1 0.2137 0.3144 0.2581
Ni2 0.2500 0.5000 0.5000
Ni3 0.7500 0.5000 0.5000
Pm1 0.8589 0.0000 0.2822
Pm2 0.1411 0.0000 0.7178
Ni4 0.5000 0.0000 0.0000
Sn2 0.7863 0.6856 0.7419
Ni5 0.0000 0.5000 0.0000
Sn3 0.4718 0.3144 0.7419
Sn4 0.5282 0.6856 0.2581

Magnetization = 0.000 μB per cell
Calculated volume = 19.76 Å³ per atom
Theoretical density = 8086 kg/m3
Total DFT energy (no corrections) = -5.28 eV/atom


The following is a PBE calculation of Ac2Ce2Sn after structural relaxation, from Alexandria.

Unit cell a=3.9739 b=3.9739 c=11.4841 alpha=99.96 beta=99.96 gamma=90.00
Positions (direct):
Ce1 0.2500 0.7500 0.5000
Sn1 0.0000 0.0000 0.0000
Ac1 0.4077 0.4077 0.8154
Ce2 0.7500 0.2500 0.5000
Ac2 0.5923 0.5923 0.1846

Magnetization = 0.000 μB per cell
Calculated volume = 35.17 Å³ per atom
Theoretical density = 8055 kg/m3
Total DFT energy (no corrections) = -4.78 eV/atom


The following is a PBE calculation of Fe21B6Mo2 after structural relaxation, from Alexandria.

Unit cell a=7.4955 b=7.4955 c=7.4955 alpha=60.00 beta=60.00 gamma=60.00
Each line ends with the local moment (μB).
Positions (direct):
Fe1 0.8536 0.3821 0.3821  1.54
Fe2 0.0000 0.3419 0.6581  2.10
Fe3 0.0000 0.3419 0.0000  2.10
Fe4 0.6179 0.6179 0.6179  1.54
Fe5 0.0000 0.0000 0.6581  2.10
Mo1 0.2500 0.2500 0.2500  -0.77
Fe6 0.3419 0.0000 0.6581  2.10
B1 0.2750 0.2750 0.7250  -0.14
B2 0.2750 0.7250 0.2750  -0.14
Fe7 0.6581 0.3419 0.0000  2.10
B3 0.7250 0.7250 0.2750  -0.14
Fe8 0.6581 0.0000 0.3419  2.10
Fe9 0.6179 0.6179 0.1464  1.54
Fe10 0.3419 0.0000 0.0000  2.10
Fe11 0.6581 0.0000 0.0000  2.10
Fe12 0.1464 0.6179 0.6179  1.54
Fe13 0.0000 0.6581 0.0000  2.10
Fe14 0.0000 0.6581 0.3419  2.10
Mo2 0.7500 0.7500 0.7500  -0.77
Fe15 0.0000 0.0000 0.3419  2.10
B4 0.7250 0.2750 0.2750  -0.14
Fe16 0.3821 0.3821 0.8536  1.54
B5 0.2750 0.7250 0.7250  -0.14
Fe17 0.3821 0.8536 0.3821  1.54
B6 0.7250 0.2750 0.7250  -0.14
Fe18 0.3821 0.3821 0.3821  1.54
Fe19 0.6179 0.1464 0.6179  1.54
Fe20 0.3419 0.6581 0.0000  2.10
Fe21 0.0000 0.0000 0.0000  2.58

Magnetization = 37.351 μB per cell
Calculated volume = 10.27 Å³ per atom
Theoretical density = 7971 kg/m3
Total DFT energy (no corrections) = -8.47 eV/atom


The following is a PBE calculation of CeBe2Ir2 after structural relaxation, from Alexandria.

Unit cell a=4.0391 b=4.0391 c=9.3321 alpha=90.00 beta=90.00 gamma=90.00
Each line ends with the local moment (μB).
Positions (direct):
Ce1 0.0000 0.5000 0.7419  0.12
Be1 0.5000 0.5000 0.0000  0.00
Ir1 0.0000 0.5000 0.1251  0.00
Be2 0.5000 0.0000 0.6208  0.00
Ir2 0.5000 0.5000 0.5000  -0.01
Ir3 0.0000 0.0000 0.5000  -0.01
Ir4 0.5000 0.0000 0.8749  0.00
Be3 0.0000 0.5000 0.3792  0.00
Be4 0.0000 0.0000 0.0000  0.00
Ce2 0.5000 0.0000 0.2581  0.12

Magnetization = 0.261 μB per cell
Energy relative to the lowest polymorph listed for this composition = 0.00 eV per formula unit
Calculated volume = 15.22 Å³ per atom
Theoretical density = 11835 kg/m3
Total DFT energy (no corrections) = -6.85 eV/atom


The following is a PBE calculation of Ag2PtW after structural relaxation, from Alexandria.

Unit cell a=2.7497 b=4.4422 c=5.4280 alpha=90.00 beta=90.00 gamma=90.00
Positions (direct):
Ag1 0.0000 0.0000 0.9976
Ag2 0.0000 0.0000 0.5024
Pt1 0.5000 0.5000 0.2500
W1 0.5000 0.5000 0.7500

Magnetization = 0.000 μB per cell
Energy relative to the lowest polymorph listed for this composition = 1.27 eV per formula unit
Calculated volume = 16.58 Å³ per atom
Theoretical density = 14894 kg/m3
Total DFT energy (no corrections) = -5.74 eV/atom


The following is a PBE calculation of Sr8Tl2P after structural relaxation, from Alexandria.

Unit cell a=7.4259 b=8.7533 c=8.7533 alpha=73.11 beta=74.26 gamma=74.26
Positions (direct):
Sr1 0.7905 0.4177 0.4177
Sr2 0.2451 0.6566 0.0491
Sr3 0.7549 0.9509 0.3434
Sr4 0.2451 0.0491 0.6566
Tl1 0.4168 0.3258 0.3258
P1 0.0000 0.0000 0.0000
Sr5 0.7568 0.8670 0.8670
Sr6 0.2095 0.5823 0.5823
Tl2 0.5832 0.6742 0.6742
Sr7 0.2432 0.1330 0.1330
Sr8 0.7549 0.3434 0.9509

Magnetization = 0.004 μB per cell
Calculated volume = 46.59 Å³ per atom
Theoretical density = 3696 kg/m3
Total DFT energy (no corrections) = -2.48 eV/atom


The following is a PBE calculation of Nd6Sm2YTm after structural relaxation, from Alexandria.

Unit cell a=9.7286 b=9.0168 c=9.0168 alpha=118.33 beta=93.88 gamma=93.88
Positions (direct):
Sm1 0.4562 0.8007 0.6977
Nd1 0.5537 0.7598 0.1236
Sm2 0.5438 0.1993 0.3023
Tm1 0.2500 0.4111 0.5889
Nd2 0.6175 0.4971 0.7107
Y1 0.2500 0.9765 0.0235
Nd3 0.1175 0.7107 0.4971
Nd4 0.4463 0.2402 0.8764
Sm3 0.9562 0.6977 0.8007
Y2 0.7500 0.0235 0.9765
Nd5 0.8097 0.4312 0.9878
Nd6 0.3825 0.5029 0.2893
Nd7 0.0537 0.1236 0.7598
Tm2 0.7500 0.5889 0.4111
Sm4 0.0438 0.3023 0.1993
Nd8 0.8825 0.2893 0.5029
Nd9 0.1903 0.5688 0.0122
Nd10 0.3097 0.9878 0.4312
Nd11 0.9463 0.8764 0.2402
Nd12 0.6903 0.0122 0.5688

Magnetization = 0.000 μB per cell
Calculated volume = 34.51 Å³ per atom
Theoretical density = 6853 kg/m3
Total DFT energy (no corrections) = -4.79 eV/atom


The following is a PBE calculation of LiMgAg2 after structural relaxation, from Alexandria.

Unit cell a=3.0159 b=5.1334 c=5.7702 alpha=52.87 beta=90.00 gamma=90.00
Positions (direct):
Mg1 0.0000 0.0000 0.5000
Ag1 0.0000 0.0000 0.0000
Li1 0.5000 0.5000 0.5000
Ag2 0.5000 0.5000 0.0000

Magnetization = 0.000 μB per cell
Calculated volume = 17.80 Å³ per atom
Theoretical density = 5759 kg/m3
Total DFT energy (no corrections) = -2.45 eV/atom


The following is a PBE calculation of KTiSi2Ag after structural relaxation, from Alexandria.

Unit cell a=4.8759 b=5.4386 c=4.8759 alpha=90.00 beta=90.00 gamma=90.00
Positions (direct):
K1 0.5000 0.5000 0.5000
Si1 0.0000 0.0000 0.5000
Ag1 0.0000 0.5000 0.0000
Si2 0.5000 0.0000 0.0000
Ti1 0.0000 0.0000 0.0000

Energy relative to the elements, uncorrected = 0.394 eV/atom
Magnetization = 0.000 μB per cell
Calculated volume = 25.86 Å³ per atom
Theoretical density = 3224 kg/m3
Total DFT energy (no corrections) = -4.14 eV/atom


The following is a PBE calculation of Ac8CuP3Br4 after structural relaxation, from Alexandria.

Unit cell a=8.8938 b=9.1832 c=8.8941 alpha=118.97 beta=120.00 gamma=90.00
Positions (direct):
Br1 0.0000 0.0000 0.0000
Ac1 0.2632 0.2895 0.5263
Ac2 0.2619 0.2880 0.0249
Br2 0.5000 0.0000 0.5000
Ac3 0.7368 0.7105 0.4737
P1 0.5000 0.5000 0.5000
Ac4 0.2369 0.7120 0.9751
Ac5 0.2369 0.7120 0.4739
Cu1 0.0000 0.5000 0.0000
P2 0.0000 0.5000 0.5000
Ac6 0.7631 0.2880 0.0249
Ac7 0.7631 0.2880 0.5261
Br3 0.0000 0.0000 0.5000
P3 0.5000 0.5000 0.0000
Br4 0.5000 0.0000 0.0000
Ac8 0.7381 0.7120 0.9751

Energy relative to the elements, uncorrected = -1.237 eV/atom
Magnetization = 0.000 μB per cell
Calculated volume = 32.60 Å³ per atom
Theoretical density = 7298 kg/m3
Total DFT energy (no corrections) = -4.98 eV/atom


The following is a PBE calculation of Dy2UCo3 after structural relaxation, from Alexandria.

Unit cell a=4.0017 b=5.1006 c=10.8305 alpha=90.00 beta=90.00 gamma=90.00
Positions (direct):
Co1 0.0000 0.2108 0.5783
U1 0.5000 0.0000 0.5000
Co2 0.0000 0.7892 0.4217
U2 0.0000 0.5000 0.0000
Co3 0.5000 0.7108 0.9217
Co4 0.5000 0.2892 0.0783
Dy1 0.5000 0.1968 0.7975
Dy2 0.5000 0.8032 0.2025
Dy3 0.0000 0.6968 0.7025
Co5 0.5000 0.5000 0.5000
Dy4 0.0000 0.3032 0.2975
Co6 0.0000 0.0000 0.0000

Magnetization = 0.001 μB per cell
Calculated volume = 18.42 Å³ per atom
Theoretical density = 11115 kg/m3
Total DFT energy (no corrections) = -7.20 eV/atom


The following is a PBE calculation of DyMgTlCu after structural relaxation, from Alexandria.

Unit cell a=4.9717 b=4.9717 c=4.9717 alpha=60.00 beta=60.00 gamma=60.00
Positions (direct):
Mg1 0.0000 0.0000 0.0000
Cu1 0.2500 0.2500 0.2500
Tl1 0.7500 0.7500 0.7500
Dy1 0.5000 0.5000 0.5000

Magnetization = 0.000 μB per cell
Calculated volume = 21.72 Å³ per atom
Theoretical density = 8689 kg/m3
Total DFT energy (no corrections) = -3.36 eV/atom


The following is a PBE calculation of BeGaI2O after structural relaxation, from Alexandria.

Unit cell a=6.5916 b=6.5916 c=2.9742 alpha=90.00 beta=90.00 gamma=90.00
Positions (direct):
I1 0.0000 0.5000 0.0000
Be1 0.0000 0.0000 0.0000
Ga1 0.5000 0.5000 0.5000
I2 0.5000 0.0000 0.0000
O1 0.0000 0.0000 0.5000

Energy relative to the elements, uncorrected = -0.777 eV/atom
Magnetization = 0.000 μB per cell
Energy relative to the lowest polymorph listed for this composition = 0.00 eV per formula unit
Calculated volume = 25.85 Å³ per atom
Theoretical density = 4479 kg/m3
Total DFT energy (no corrections) = -3.74 eV/atom


The following is a PBE calculation of La4Sm15Mg after structural relaxation, from Alexandria.

Unit cell a=5.1410 b=5.1410 c=25.6857 alpha=90.00 beta=90.00 gamma=90.00
Positions (direct):
Sm1 0.0000 0.5000 0.7024
Sm2 0.5000 0.0000 0.2976
Sm3 0.0000 0.5000 0.9042
La1 0.0000 0.0000 0.3988
Sm4 0.5000 0.5000 0.6017
Sm5 0.5000 0.5000 0.1946
Sm6 0.5000 0.5000 0.8054
Sm7 0.0000 0.5000 0.5000
Sm8 0.5000 0.0000 0.5000
La2 0.0000 0.0000 0.8036
Sm9 0.0000 0.5000 0.0958
Mg1 0.0000 0.0000 0.0000
Sm10 0.5000 0.5000 0.3983
Sm11 0.5000 0.0000 0.7024
Sm12 0.5000 0.0000 0.0958
Sm13 0.5000 0.5000 0.0000
La3 0.0000 0.0000 0.6012
Sm14 0.0000 0.5000 0.2976
Sm15 0.5000 0.0000 0.9042
La4 0.0000 0.0000 0.1964

Magnetization = 0.000 μB per cell
Calculated volume = 33.94 Å³ per atom
Theoretical density = 6935 kg/m3
Total DFT energy (no corrections) = -4.58 eV/atom